Here is a relaxed La2Ho4Th5 crystal from Alexandria. Energies are from PBE.

Lattice parameters (Å, degrees): 8.8335 3.4749 11.7682 90.00 94.18 90.00
Last column: nearest neighbours and their distance in Å.
Space group P2/m (No. 10)
One atom of each set of equivalent atoms:
La (0.0522, 0.0000, 0.1340) [2 per cell]  3 La 3.22-3.47, 2 Th 3.30-3.31
Ho (0.1609, 0.5000, 0.4081) [2 per cell]  3 Ho 3.47-3.70, 8 Th 3.56-3.75, 2 La 3.73
Ho (0.3137, 0.5000, 0.9425) [2 per cell]  3 Ho 3.47, 6 Th 3.56-3.70, 4 La 3.72-3.77
Th (0.2051, 0.0000, 0.6754) [2 per cell]  1 La 3.31, 4 Th 3.44-3.48, 4 Ho 3.59-3.66
Th (0.4179, 0.0000, 0.2148) [2 per cell]  1 La 3.30, 4 Th 3.38-3.48, 2 Ho 3.56
Th (0.5000, 0.0000, 0.5000) [1 per cell]  6 Th 3.38-3.47, 4 Ho 3.56

Summary:
DOS at the Fermi energy (states/eV per atom): 1.69
Calculated total energy (eV per atom): -5.80
Volume (Å³/cell): 360.3